[1]
# YSbI2F (PBE, optimized geometry)
# Energy relative to the lowest polymorph listed for this composition in eV/f.u.: 0.47
# DOS at the Fermi energy in states/eV per atom: 1.448
# Magnetization in μB per cell: 1.16
# Formation energy (no corrections) in eV per atom: -0.509
data_YSbI2F
_chemical_formula_sum 'Y1 Sb1 I2 F1'
_cell_length_a 5.8584
_cell_length_b 5.8584
_cell_length_c 6.2521
_cell_angle_alpha 90.00
_cell_angle_beta 90.00
_cell_angle_gamma 90.00
_space_group_name_H-M_alt 'P 4/m m m'
_space_group_IT_number 123
_space_group_name_Hall '-P 4 2'
loop_
_atom_site_label
_atom_site_type_symbol
_atom_site_fract_x
_atom_site_fract_y
_atom_site_fract_z
Y1 Y 0.0000 0.0000 0.0000
Sb1 Sb 0.0000 0.0000 0.5000
I1 I 0.0000 0.5000 0.0000
F1 F 0.5000 0.5000 0.5000

[2]
# YSb2IF (PBE, optimized geometry)
# Energy relative to the lowest polymorph listed for this composition in eV/f.u.: 0.00
# DOS at the Fermi energy in states/eV per atom: 0.232
# Magnetization in μB per cell: 0.00
# Formation energy (no corrections) in eV per atom: -0.643
data_YSb2IF
_chemical_formula_sum 'Y1 Sb2 I1 F1'
_cell_length_a 4.6990
_cell_length_b 4.6990
_cell_length_c 5.9357
_cell_angle_alpha 90.00
_cell_angle_beta 90.00
_cell_angle_gamma 90.00
_space_group_name_H-M_alt 'P 4/m m m'
_space_group_IT_number 123
_space_group_name_Hall '-P 4 2'
loop_
_atom_site_label
_atom_site_type_symbol
_atom_site_fract_x
_atom_site_fract_y
_atom_site_fract_z
Y1 Y 0.0000 0.0000 0.0000
Sb1 Sb 0.0000 0.5000 0.5000
I1 I 0.5000 0.5000 0.0000
F1 F 0.5000 0.5000 0.5000